Entry from the Alexandria database: Ga2Ni6Rh after structural relaxation (PBE).

The structure belongs to space group C2/m (No. 12); the cell edges are 7.2430, 4.9128 and 6.6076 Å and the angles 90.00°, 107.36° and 90.00°. The inequivalent atoms are Ga at (0.1752, 0.0000, 0.1013), Ni at (0.0506, 0.2383, 0.6903), Ni at (0.2420, 0.5000, 0.4926) and Rh at (0.0000, 0.5000, 0.0000).

Its density of states at the Fermi level is 26.850 states/eV/cell. The calculation puts the energy of formation at -59 meV per atom. Its crystal system is monoclinic.

***

Entry from the Alexandria database: Ga2CuMo after structural relaxation (PBE).

The structure belongs to space group I-42d (No. 122); the cell edges are 6.7753, 6.7753 and 5.4549 Å and the angles 90.00°, 90.00° and 90.00°. The inequivalent atoms are Ga at (0.2227, 0.2500, 0.1250), Cu at (0.0000, 0.0000, 0.0000) and Mo at (0.0000, 0.0000, 0.5000).

Its density of states at the Fermi level is 12.309 states/eV/cell. The calculation puts the energy of formation at 259 meV per atom. Its excess energy over the best structure of this formula in the dataset is 0.329 eV/atom. Its crystal system is tetragonal.

***

Entry from the Alexandria database: TlBi3Te4 after structural relaxation (PBE).

The structure belongs to space group Pmmn (No. 59, origin choice 2); the cell edges are 6.5367, 12.8669 and 6.5976 Å and the angles 90.00°, 90.00° and 90.00°. The inequivalent atoms are Tl at (0.2500, 0.2500, 0.2395), Bi at (0.2500, 0.9999, 0.7559), Bi at (0.2500, 0.7500, 0.2583), Te at (0.2500, 0.2500, 0.7394), Te at (0.2500, 0.5090, 0.2724) and Te at (0.2500, 0.7500, 0.7818).

As for the uncorrected formation energy: -167 meV per atom. Its density of states at the Fermi level is 5.468 states/eV/cell. Its crystal system is orthorhombic.

***

Entry from the Alexandria database: Rb13O2 after structural relaxation (PBE).

The structure belongs to space group R-3m (No. 166, hexagonal axes); the cell edges are 13.9203, 13.9203 and 27.1636 Å and the angles 90.00°, 90.00° and 120.00°. The inequivalent atoms are Rb at (0.0000, 0.0000, 0.0000), Rb at (0.1001, 0.2003, 0.1269), Rb at (0.1077, 0.5539, 0.0744) and O at (0.0000, 0.0000, 0.0996).

As for the uncorrected formation energy: -273 meV per atom. Its density of states at the Fermi level is 30.159 states/eV/cell. Its excess energy over the best structure of this formula in the dataset is 0.108 eV/atom. Its crystal system is trigonal.

***

Entry from the Alexandria database: Pm3CoGe after structural relaxation (PBE).

The structure belongs to space group Pm-3m (No. 221); the cell edges are 5.1561, 5.1561 and 5.1561 Å and the angles 90.00°, 90.00° and 90.00°. The inequivalent atoms are Pm at (0.0000, 0.0000, 0.5000), Co at (0.0000, 0.0000, 0.0000) and Ge at (0.5000, 0.5000, 0.5000).

Its density of states at the Fermi level is 3.642 states/eV/cell. The calculation puts the energy of formation at -140 meV per atom. Its excess energy over the best structure of this formula in the dataset is 0.129 eV/atom. Its crystal system is cubic.

***

Entry from the Alexandria database: KAcTlBi after structural relaxation (PBE).

The structure belongs to space group F-43m (No. 216); the cell edges are 8.3338, 8.3338 and 8.3338 Å and the angles 90.00°, 90.00° and 90.00°. The inequivalent atoms are K at (0.0000, 0.0000, 0.0000), Ac at (0.0000, 0.0000, 0.5000), Tl at (0.2500, 0.2500, 0.2500) and Bi at (0.2500, 0.2500, 0.7500).

Its density of states at the Fermi level is 16.101 states/eV/cell. The calculation puts the energy of formation at -320 meV per atom. Its crystal system is cubic.

***

Entry from the Alexandria database: Tb3NdAs4 after structural relaxation (PBE).

The structure belongs to space group Cmmm (No. 65); the cell edges are 8.3445, 11.8008 and 4.1754 Å and the angles 90.00°, 90.00° and 90.00°. The inequivalent atoms are Tb at (0.0000, 0.0000, 0.0000), Tb at (0.2500, 0.2500, 0.5000), Nd at (0.0000, 0.5000, 0.0000), As at (0.0000, 0.2473, 0.0000) and As at (0.2445, 0.0000, 0.5000).

Its density of states at the Fermi level is 1.628 states/eV/cell. The calculation puts the energy of formation at -1529 meV per atom. Its crystal system is orthorhombic.

***

Entry from the Alexandria database: BPbSe2 after structural relaxation (PBE).

The structure belongs to space group I-42d (No. 122); the cell edges are 6.4859, 6.4859 and 8.6525 Å and the angles 90.00°, 90.00° and 90.00°. The inequivalent atoms are B at (0.0000, 0.0000, 0.0000), Pb at (0.0000, 0.0000, 0.5000) and Se at (0.1299, 0.7500, 0.1250).

As for the uncorrected formation energy: 112 meV per atom. Its density of states at the Fermi level is 2.277 states/eV/cell. Its excess energy over the best structure of this formula in the dataset is 0.000 eV/atom. Its crystal system is tetragonal.

***

Entry from the Alexandria database: Dy12Tm5Mg after structural relaxation (PBE).

The structure belongs to space group C2/m (No. 12); the cell edges are 6.1155, 10.5937 and 17.1721 Å and the angles 90.00°, 96.81° and 90.00°. The inequivalent atoms are Dy at (0.1105, 0.0000, 0.3345), Dy at (0.1119, 0.3327, 0.3345), Dy at (0.2220, 0.1667, 0.1670), Dy at (0.2226, 0.5000, 0.1670), Tm at (0.0000, 0.0000, 0.0000), Tm at (0.0000, 0.1666, 0.5000), Tm at (0.0000, 0.3335, 0.0000) and Mg at (0.0000, 0.5000, 0.5000).

Its density of states at the Fermi level is 50.038 states/eV/cell. The calculation puts the energy of formation at 18 meV per atom. Its crystal system is monoclinic.

***

Entry from the Alexandria database: CoNiRh2 after structural relaxation (PBE).

The structure belongs to space group I-4m2 (No. 119); the cell edges are 3.6838, 3.6838 and 7.5307 Å and the angles 90.00°, 90.00° and 90.00°. The inequivalent atoms are Co at (0.0000, 0.0000, 0.0000), Ni at (0.0000, 0.5000, 0.7500), Rh at (0.0000, 0.0000, 0.5000) and Rh at (0.0000, 0.5000, 0.2500).

Its density of states at the Fermi level is 14.756 states/eV/cell. The calculation puts the energy of formation at 55 meV per atom. Its excess energy over the best structure of this formula in the dataset is 0.000 eV/atom. Its crystal system is tetragonal.

***

Entry from the Alexandria database: Y2ZnFe after structural relaxation (PBE).

The structure belongs to space group I-42d (No. 122); the cell edges are 7.5955, 7.5955 and 6.3442 Å and the angles 90.00°, 90.00° and 90.00°. The inequivalent atoms are Y at (0.2224, 0.2500, 0.1250), Zn at (0.0000, 0.0000, 0.5000) and Fe at (0.0000, 0.0000, 0.0000).

Its density of states at the Fermi level is 18.172 states/eV/cell. The calculation puts the energy of formation at 347 meV per atom. Its crystal system is tetragonal.

***

Entry from the Alexandria database: Be5Co6Si after structural relaxation (PBE).

The structure belongs to space group Cmmm (No. 65); the cell edges are 3.7105, 11.1147 and 5.2435 Å and the angles 90.00°, 90.00° and 90.00°. The inequivalent atoms are Be at (0.0000, 0.0000, 0.0000), Be at (0.0000, 0.3315, 0.5000), Be at (0.0000, 0.3348, 0.0000), Co at (0.0000, 0.1690, 0.2462), Co at (0.0000, 0.5000, 0.2445) and Si at (0.0000, 0.0000, 0.5000).

As for the uncorrected formation energy: -426 meV per atom. Its density of states at the Fermi level is 25.905 states/eV/cell. Its crystal system is orthorhombic.

***

Entry from the Alexandria database: Ac2Nd3SmAs6 after structural relaxation (PBE).

The structure belongs to space group C2/m (No. 12); the cell edges are 19.0041, 4.3600 and 8.7300 Å and the angles 90.00°, 103.33° and 90.00°. The inequivalent atoms are Ac at (0.1651, 0.0000, 0.3309), Nd at (0.0000, 0.5000, 0.5000), Nd at (0.1665, 0.0000, 0.8350), Sm at (0.0000, 0.5000, 0.0000), As at (0.0036, 0.0000, 0.7548), As at (0.1634, 0.5000, 0.5916) and As at (0.1651, 0.5000, 0.0730).

Its density of states at the Fermi level is 2.971 states/eV/cell. The calculation puts the energy of formation at -1479 meV per atom. Its crystal system is monoclinic.

***

Entry from the Alexandria database: Sr2YZr after structural relaxation (PBE).

The structure belongs to space group I4/mmm (No. 139); the cell edges are 5.1079, 5.1079 and 11.2189 Å and the angles 90.00°, 90.00° and 90.00°. The inequivalent atoms are Sr at (0.0000, 0.5000, 0.2500), Y at (0.0000, 0.0000, 0.0000) and Zr at (0.0000, 0.0000, 0.5000).

Its density of states at the Fermi level is 12.517 states/eV/cell. The calculation puts the energy of formation at 500 meV per atom. Its excess energy over the best structure of this formula in the dataset is 0.247 eV/atom. Its crystal system is tetragonal.

***

Entry from the Alexandria database: CdNiAu4 after structural relaxation (PBE).

The structure belongs to space group F-43m (No. 216); the cell edges are 7.7252, 7.7252 and 7.7252 Å and the angles 90.00°, 90.00° and 90.00°. The inequivalent atoms are Cd at (0.0000, 0.0000, 0.0000), Ni at (0.2500, 0.2500, 0.7500) and Au at (0.1248, 0.1248, 0.3752).

Its density of states at the Fermi level is 16.105 states/eV/cell. The calculation puts the energy of formation at 216 meV per atom. Its crystal system is cubic.

***

Entry from the Alexandria database: Mn2HgCl after structural relaxation (PBE).

The structure belongs to space group C2/m (No. 12); the cell edges are 9.5177, 3.1273 and 7.6927 Å and the angles 90.00°, 126.18° and 90.00°. The inequivalent atoms are Mn at (0.1431, 0.0000, 0.3262), Hg at (0.0000, 0.5000, 0.5000) and Cl at (0.0000, 0.5000, 0.0000).

As for the uncorrected formation energy: 76 meV per atom. Its density of states at the Fermi level is 5.441 states/eV/cell. Its excess energy over the best structure of this formula in the dataset is 0.010 eV/atom. Its crystal system is monoclinic.

***

Entry from the Alexandria database: LiDyTh after structural relaxation (PBE).

The structure belongs to space group I4mm (No. 107); the cell edges are 3.6387, 3.6387 and 12.6198 Å and the angles 90.00°, 90.00° and 90.00°. The inequivalent atoms are Li at (0.0000, 0.0000, 0.0000), Dy at (0.0000, 0.0000, 0.6524) and Th at (0.0000, 0.0000, 0.3380).

Its density of states at the Fermi level is 6.139 states/eV/cell. The calculation puts the energy of formation at 122 meV per atom. Its excess energy over the best structure of this formula in the dataset is 0.069 eV/atom. Its crystal system is tetragonal.

***

Entry from the Alexandria database: NdPuCdHg after structural relaxation (PBE).

The structure belongs to space group F-43m (No. 216); the cell edges are 7.6320, 7.6320 and 7.6320 Å and the angles 90.00°, 90.00° and 90.00°. The inequivalent atoms are Nd at (0.0000, 0.0000, 0.0000), Pu at (0.0000, 0.0000, 0.5000), Cd at (0.2500, 0.2500, 0.7500) and Hg at (0.2500, 0.2500, 0.2500).

Its density of states at the Fermi level is 46.249 states/eV/cell. The calculation puts the energy of formation at -184 meV per atom. Its crystal system is cubic.

***

Entry from the Alexandria database: MgAlZn2 after structural relaxation (PBE).

The structure belongs to space group P2/m (No. 10); the cell edges are 2.9312, 3.9221 and 5.9106 Å and the angles 90.00°, 90.16° and 90.00°. The inequivalent atoms are Mg at (0.0000, 0.0000, 0.0000), Al at (0.0000, 0.0000, 0.5000) and Zn at (0.4998, 0.5000, 0.2632).

Its density of states at the Fermi level is 1.211 states/eV/cell. The calculation puts the energy of formation at -15 meV per atom. Its crystal system is monoclinic.

***

Entry from the Alexandria database: Li3VAs after structural relaxation (PBE).

The structure belongs to space group Pm-3m (No. 221); the cell edges are 4.7109, 4.7109 and 4.7109 Å and the angles 90.00°, 90.00° and 90.00°. The inequivalent atoms are Li at (0.0000, 0.0000, 0.5000), V at (0.0000, 0.0000, 0.0000) and As at (0.5000, 0.5000, 0.5000).

Its density of states at the Fermi level is 1.923 states/eV/cell. The calculation puts the energy of formation at 890 meV per atom. Its excess energy over the best structure of this formula in the dataset is 0.555 eV/atom. Its crystal system is cubic.